# Re3AgOs (PBE, optimized geometry)
data_Re3AgOs
_cell_length_a 4.7278
_cell_length_b 4.7278
_cell_length_c 4.7278
_cell_angle_alpha 90.00
_cell_angle_beta 90.00
_cell_angle_gamma 90.00
_space_group_name_H-M_alt 'P m -3 m'
_space_group_IT_number 221
_space_group_name_Hall '-P 4 2 3'
loop_
_atom_site_label
_atom_site_fract_x
_atom_site_fract_y
_atom_site_fract_z
_atom_site_occupancy
Re1 0.0000 0.0000 0.5000 1
Ag1 0.5000 0.5000 0.5000 1
Os1 0.0000 0.0000 0.0000 1
# Energy above the most stable polymorph in this dataset, kJ per mole of atoms: 0.0
# N(E_F), states/eV/f.u.: 4.92
# Total DFT energy (no corrections), Ry per atom: -0.5930
# ΔE_f, kJ per mole of atoms: 213.9